# GGA-PBE Ac2Pm2Pr4Nd, relaxed
data_Ac2Pm2Pr4Nd
_cell_length_a 17.925
_cell_length_b 3.742
_cell_length_c 10.259
_cell_angle_alpha 90.00
_cell_angle_beta 99.23
_cell_angle_gamma 90.00
_space_group_name_H-M_alt 'C 1 2/m 1'
_space_group_IT_number 12
_space_group_name_Hall '-C 2y'
loop_
_atom_site_label
_atom_site_fract_x
_atom_site_fract_y
_atom_site_fract_z
_atom_site_occupancy
Ac1 0.163 0.000 0.080 1
Pm1 0.165 0.500 0.419 1
Pr1 0.011 0.500 0.822 1
Pr2 0.170 0.000 0.724 1
Nd1 0.000 0.000 0.500 1
# N(E_F)	1.37	states/eV per atom
# energy	-82.8	eV/cell
# energy relative to the elements	24	meV per atom

---

# GGA-PBE Tb12Ho7Pu, relaxed
data_Tb12Ho7Pu
_cell_length_a 11.302
_cell_length_b 11.302
_cell_length_c 11.302
_cell_angle_alpha 90.00
_cell_angle_beta 90.00
_cell_angle_gamma 90.00
_space_group_name_H-M_alt 'I m -3 m'
_space_group_IT_number 229
_space_group_name_Hall '-I 4 2 3'
loop_
_atom_site_label
_atom_site_fract_x
_atom_site_fract_y
_atom_site_fract_z
_atom_site_occupancy
Tb1 0.000 0.251 0.251 1
Ho1 0.000 0.000 0.500 1
Ho2 0.250 0.250 0.250 1
Pu1 0.000 0.000 0.000 1
# N(E_F)	1.87	states/eV per atom
# energy	-174.2	eV/cell
# energy relative to the elements	741	meV per atom

---

# GGA-PBE PaHgI5, relaxed
data_PaHgI5
_cell_length_a 14.291
_cell_length_b 11.028
_cell_length_c 11.265
_cell_angle_alpha 90.00
_cell_angle_beta 112.99
_cell_angle_gamma 90.00
_space_group_name_H-M_alt 'C 1 2/c 1'
_space_group_IT_number 15
_space_group_name_Hall '-C 2yc'
loop_
_atom_site_label
_atom_site_fract_x
_atom_site_fract_y
_atom_site_fract_z
_atom_site_occupancy
Pa1 0.000 0.000 0.000 1
Hg1 0.000 0.481 0.250 1
I1 0.000 0.117 0.250 1
I2 0.093 0.222 0.963 1
I3 0.200 0.103 0.640 1
# formation energy without anion corrections	-0.75	eV per atom
# energy	-91.2	eV/cell

---

# GGA-PBE SiSbSI2, relaxed
data_SiSbSI2
_cell_length_a 5.232
_cell_length_b 5.232
_cell_length_c 5.682
_cell_angle_alpha 90.00
_cell_angle_beta 90.00
_cell_angle_gamma 90.00
_space_group_name_H-M_alt 'P 4/m m m'
_space_group_IT_number 123
_space_group_name_Hall '-P 4 2'
loop_
_atom_site_label
_atom_site_fract_x
_atom_site_fract_y
_atom_site_fract_z
_atom_site_occupancy
Si1 0.000 0.000 0.000 1
Sb1 0.000 0.000 0.500 1
S1 0.500 0.500 0.500 1
I1 0.000 0.500 0.000 1
# N(E_F)	1.22	states/eV per atom
# formation energy without anion corrections	0.73	eV per atom
# distance to the lowest polymorph of the same formula	0.0	kJ/mol of formula units
# energy	-13.1	eV/cell

---

# GGA-PBE PmHoSe3, relaxed
data_PmHoSe3
_cell_length_a 8.123
_cell_length_b 4.098
_cell_length_c 8.253
_cell_angle_alpha 90.00
_cell_angle_beta 94.92
_cell_angle_gamma 90.00
_space_group_name_H-M_alt 'P 1 21/m 1'
_space_group_IT_number 11
_space_group_name_Hall '-P 2yb'
loop_
_atom_site_label
_atom_site_fract_x
_atom_site_fract_y
_atom_site_fract_z
_atom_site_occupancy
Pm1 0.120 0.250 0.271 1
Ho1 0.354 0.750 0.824 1
Se1 0.124 0.250 0.889 1
Se2 0.184 0.750 0.523 1
Se3 0.398 0.750 0.180 1
# formation energy without anion corrections	-1.87	eV per atom
# distance to the lowest polymorph of the same formula	7.7	kJ/mol of formula units
# energy	-58.2	eV/cell

---

# GGA-PBE Ga8Ag2Pt, relaxed
data_Ga8Ag2Pt
_cell_length_a 16.842
_cell_length_b 4.436
_cell_length_c 5.496
_cell_angle_alpha 90.00
_cell_angle_beta 99.02
_cell_angle_gamma 90.00
_space_group_name_H-M_alt 'C 1 2/m 1'
_space_group_IT_number 12
_space_group_name_Hall '-C 2y'
loop_
_atom_site_label
_atom_site_fract_x
_atom_site_fract_y
_atom_site_fract_z
_atom_site_occupancy
Ga1 0.002 0.000 0.266 1
Ga2 0.124 0.500 0.787 1
Ga3 0.133 0.500 0.305 1
Ga4 0.209 0.000 0.090 1
Ag1 0.187 0.000 0.578 1
Pt1 0.000 0.500 0.000 1
# N(E_F)	0.24	states/eV per atom
# energy	-75.1	eV/cell
# energy relative to the elements	-143	meV per atom

---

# GGA-PBE LaPrYTl, relaxed
data_LaPrYTl
_cell_length_a 8.006
_cell_length_b 8.006
_cell_length_c 8.006
_cell_angle_alpha 90.00
_cell_angle_beta 90.00
_cell_angle_gamma 90.00
_space_group_name_H-M_alt 'F -4 3 m'
_space_group_IT_number 216
_space_group_name_Hall 'F -4 2 3'
loop_
_atom_site_label
_atom_site_fract_x
_atom_site_fract_y
_atom_site_fract_z
_atom_site_occupancy
La1 0.000 0.000 0.000 1
Pr1 0.000 0.000 0.500 1
Y1 0.250 0.250 0.750 1
Tl1 0.250 0.250 0.250 1
# N(E_F)	1.44	states/eV per atom
# distance to the lowest polymorph of the same formula	47.0	kJ/mol of formula units
# energy	-75.4	eV/cell
# energy relative to the elements	-76	meV per atom

---

# GGA-PBE Tb2Dy3Tm6Zr, relaxed
data_Tb2Dy3Tm6Zr
_cell_length_a 6.041
_cell_length_b 10.448
_cell_length_c 11.524
_cell_angle_alpha 90.00
_cell_angle_beta 100.01
_cell_angle_gamma 90.00
_space_group_name_H-M_alt 'C 1 2/m 1'
_space_group_IT_number 12
_space_group_name_Hall '-C 2y'
loop_
_atom_site_label
_atom_site_fract_x
_atom_site_fract_y
_atom_site_fract_z
_atom_site_occupancy
Tb1 0.000 0.167 0.000 1
Dy1 0.000 0.000 0.500 1
Dy2 0.000 0.334 0.500 1
Tm1 0.245 0.337 0.245 1
Tm2 0.245 0.500 0.755 1
Zr1 0.000 0.500 0.000 1
# N(E_F)	1.28	states/eV per atom
# energy	-115.8	eV/cell
# energy relative to the elements	44	meV per atom

---

Question: Look up the energy of the seventh one.
Answer: -75.4 eV/cell

---

Question: Among the records above, which one has the highest energy?
Answer: SiSbSI2

---

Question: Which of these has the lowest energy?
Answer: Tb12Ho7Pu